# TcSbO4

A geometry-optimized TcSbO4 structure (GGA-PBE, Alexandria via LeMat-Bulk).

Results
**Relative energy among the computed polymorphs**: 0 meV per atom
**Total moment**: 0.44 μB per cell
**VASP energy**: -7.06 eV per atom
**Theoretical density**: 5884 kg/m³
**Formation energy without anion corrections**: -1.337 eV/atom

Lattice parameters (Å, degrees): 3.8262 5.5186 7.8228 90.00 104.17 90.00
With the nearest neighbours (Å) after each atom.
Sites, in units of the cell vectors:
O (0.5000, 0.0304, 0.9999)  2 Tc 1.86-1.87
O (0.0890, 0.7806, 0.1780)  2 Tc 1.92
O (0.5000, 0.5304, 0.0001)  2 Tc 1.86-1.87
O (0.6903, 0.0154, 0.3803)  1 Tc 2.08, 1 Sb 2.14
O (0.3096, 0.0458, 0.6196)  1 Tc 2.08, 1 Sb 2.14
O (0.3097, 0.5154, 0.6197)  1 Tc 2.08, 1 Sb 2.14
O (0.9110, 0.2806, 0.8220)  2 Tc 1.92
O (0.6904, 0.5458, 0.3804)  1 Tc 2.08, 1 Sb 2.14
Sb (0.1969, 0.2806, 0.3953)  2 O 2.14
Sb (0.8031, 0.7806, 0.6047)  2 O 2.14
Tc (0.5827, 0.7805, 0.1655)  6 O 1.86-2.08
Tc (0.4173, 0.2805, 0.8345)  6 O 1.86-2.08

***

# TaGaAg

A geometry-optimized TaGaAg structure (GGA-PBE, Alexandria via LeMat-Bulk).

Results
**Total moment**: 0.00 μB per cell
**VASP energy**: -5.77 eV per atom
**Theoretical density**: 11225 kg/m³
**DFT formation energy**: 139.4 meV per atom

Lattice parameters (Å, degrees): 2.8551 2.8551 13.1696 96.22 96.22 90.00
With the nearest neighbours (Å) after each atom.
Sites, in units of the cell vectors:
Ta (0.4480, 0.4480, 0.8961)  5 Ta 2.71-2.86, 4 Ga 2.84
Ta (0.5520, 0.5520, 0.1039)  5 Ta 2.71-2.86, 4 Ga 2.84
Ga (0.8714, 0.8714, 0.7428)  4 Ta 2.84, 4 Ga 2.86, 4 Ag 2.88
Ga (0.1286, 0.1286, 0.2572)  4 Ta 2.84, 4 Ga 2.86, 4 Ag 2.88
Ag (0.7074, 0.7074, 0.4148)  8 Ag 2.86-3.00, 4 Ga 2.88
Ag (0.2926, 0.2926, 0.5852)  8 Ag 2.86-3.00, 4 Ga 2.88

***

# MgOsRu

A geometry-optimized MgOsRu structure (GGA-PBE, Alexandria via LeMat-Bulk).

Results
**Relative energy among the computed polymorphs**: 112 meV per atom
**Total moment**: 0.00 μB per cell
**VASP energy**: -7.18 eV per atom
**Theoretical density**: 11638 kg/m³
**DFT formation energy**: 182.4 meV per atom

Lattice parameters (Å, degrees): 4.8649 4.8649 4.8649 146.37 134.61 57.66
With the nearest neighbours (Å) after each atom.
Sites, in units of the cell vectors:
Mg (0.0000, 0.0000, 0.0000)  5 Ru 2.74-2.80, 5 Os 2.74-2.80, 2 Mg 2.81
Ru (0.6788, 0.6788, 0.0000)  4 Os 2.64, 5 Mg 2.74-2.80, 2 Ru 2.81
Os (0.3212, 0.3212, 0.0000)  4 Ru 2.64, 5 Mg 2.74-2.80, 2 Os 2.81

***

# GaTc

A geometry-optimized GaTc structure (GGA-PBE, Alexandria via LeMat-Bulk).

Results
**Relative energy among the computed polymorphs**: 1208 meV per atom
**Total moment**: 4.66 μB per cell
**VASP energy**: -5.66 eV per atom
**Theoretical density**: 4673 kg/m³
**DFT formation energy**: 1033.8 meV per atom

Lattice parameters (Å, degrees): 7.8122 7.8122 7.8122 90.00 90.00 90.00
With the nearest neighbours (Å) after each atom.
Sites, in units of the cell vectors:
Tc (0.8854, 0.1146, 0.1146)  4 Ga 2.52-2.62, 3 Tc 2.53
Tc (0.1146, 0.1146, 0.8854)  4 Ga 2.52-2.62, 3 Tc 2.53
Tc (0.1146, 0.8854, 0.1146)  4 Ga 2.52-2.62, 3 Tc 2.53
Tc (0.8854, 0.8854, 0.8854)  4 Ga 2.52-2.62, 3 Tc 2.53
Tc (0.6146, 0.3854, 0.6146)  4 Ga 2.52-2.62, 3 Tc 2.53
Tc (0.3854, 0.6146, 0.6146)  4 Ga 2.52-2.62, 3 Tc 2.53
Tc (0.3854, 0.3854, 0.3854)  4 Ga 2.52-2.62, 3 Tc 2.53
Tc (0.6146, 0.6146, 0.3854)  4 Ga 2.52-2.62, 3 Tc 2.53
Ga (0.6992, 0.3008, 0.3008)  4 Tc 2.52-2.62
Ga (0.6992, 0.6992, 0.6992)  4 Tc 2.52-2.62
Ga (0.1992, 0.8008, 0.8008)  4 Tc 2.52-2.62
Ga (0.1992, 0.1992, 0.1992)  4 Tc 2.52-2.62
Ga (0.3008, 0.3008, 0.6992)  4 Tc 2.52-2.62
Ga (0.8008, 0.8008, 0.1992)  4 Tc 2.52-2.62
Ga (0.3008, 0.6992, 0.3008)  4 Tc 2.52-2.62
Ga (0.8008, 0.1992, 0.8008)  4 Tc 2.52-2.62

***

# Cr2AgOs

A geometry-optimized Cr2AgOs structure (GGA-PBE, Alexandria via LeMat-Bulk).

Results
**Total moment**: 0.77 μB per cell
**VASP energy**: -7.84 eV per atom
**Theoretical density**: 11586 kg/m³
**DFT formation energy**: 489.9 meV per atom

Lattice parameters (Å, degrees): 3.9479 2.7523 5.5783 71.95 90.00 90.00
With the nearest neighbours (Å) after each atom.
Sites, in units of the cell vectors:
Ag (0.5000, 0.7695, 0.7633)  6 Cr 2.68-2.78, 2 Ag 2.75, 4 Os 2.91-2.92
Cr (0.0000, 0.0989, 0.0238)  2 Cr 2.41, 1 Os 2.48
Cr (0.5000, 0.1627, 0.2601)  2 Cr 2.41, 2 Os 2.51, 1 Ag 2.68
Os (0.0000, 0.4689, 0.4528)  5 Cr 2.48-2.73, 2 Os 2.75